[1]
{"formula": "CdSCl2", "functional": "PBE", "state": "relaxed", "lattice": [[0.000, 3.496, 3.496], [3.496, 0.000, 3.496], [3.496, 3.496, 0.000]], "species": ["Cd", "S", "Cl", "Cl"], "frac_coords": [[0.000, 0.000, 0.000], [0.500, 0.500, 0.500], [0.250, 0.250, 0.250], [0.750, 0.750, 0.750]]}

[2]
{"formula": "K3SmHo2S6", "functional": "PBE", "state": "relaxed", "lattice": [[3.525, -6.106, 0.000], [3.525, 6.106, 0.000], [-2.351, 0.000, 7.374]], "species": ["K", "K", "K", "Sm", "Ho", "Ho", "S", "S", "S", "S", "S", "S"], "frac_coords": [[0.000, 0.000, 0.000], [0.334, 0.666, 0.000], [0.666, 0.334, 0.000], [0.500, 0.500, 0.500], [0.167, 0.833, 0.500], [0.833, 0.167, 0.500], [0.093, 0.433, 0.298], [0.228, 0.228, 0.702], [0.433, 0.093, 0.298], [0.567, 0.907, 0.702], [0.772, 0.772, 0.298], [0.907, 0.567, 0.702]]}

[3]
{"formula": "Cd4InSe", "functional": "PBE", "state": "relaxed", "lattice": [[0.000, 4.205, 4.205], [4.205, 0.000, 4.205], [4.205, 4.205, 0.000]], "species": ["Cd", "Cd", "Cd", "Cd", "In", "Se"], "frac_coords": [[0.125, 0.125, 0.125], [0.125, 0.125, 0.625], [0.125, 0.625, 0.125], [0.625, 0.125, 0.125], [0.750, 0.750, 0.750], [0.500, 0.500, 0.500]]}

Calculated raw total energy (eV/atom), listed in the same order as above: -1.959; -5.375; -1.531
Calculated D(E_F) (states/eV/atom), listed in the same order as above: 0.529; 0.000; 0.557
Calculated uncorrected formation energy (eV/atom), listed in the same order as above: 0.23; -1.88; 0.12